(1)
Here is LuCoNiBi after structural relaxation from OQMD. Energies are from PBE.

Calculated values
- symmetry = No. 216
- distance to the lowest polymorph of the same formula (kJ per mole of atoms) = 33.3

Cell lengths 4.7168, 4.7168, 4.7168 Å; angles 60.00, 60.00, 60.00 degrees
Last column: nearest neighbours and their distance in Å.
Fractional positions:
Bi (0.0000, 0.0000, 0.0000)  4 Ni 2.89, 4 Lu 2.89
Co (0.5000, 0.5000, 0.5000)  4 Lu 2.89, 4 Ni 2.89
Lu (0.2500, 0.2500, 0.2500)  4 Co 2.89, 4 Bi 2.89
Ni (0.7500, 0.7500, 0.7500)  4 Bi 2.89, 4 Co 2.89



(2)
Here is LuCoNiBi after structural relaxation from OQMD. Energies are from PBE.

Calculated values
- symmetry = No. 216
- distance to the lowest polymorph of the same formula (kJ per mole of atoms) = 0.0

Cell lengths 4.6025, 4.6025, 4.6025 Å; angles 60.00, 60.00, 60.00 degrees
Last column: nearest neighbours and their distance in Å.
Fractional positions:
Bi (0.0000, 0.0000, 0.0000)  4 Co 2.82, 4 Ni 2.82
Co (0.7500, 0.7500, 0.7500)  4 Bi 2.82, 4 Lu 2.82
Lu (0.5000, 0.5000, 0.5000)  4 Co 2.82, 4 Ni 2.82
Ni (0.2500, 0.2500, 0.2500)  4 Lu 2.82, 4 Bi 2.82



(3)
Here is LuCoBiPd after structural relaxation from OQMD. Energies are from PBE.

Calculated values
- symmetry = No. 216
- distance to the lowest polymorph of the same formula (kJ per mole of atoms) = 0.0

Cell lengths 4.7439, 4.7439, 4.7439 Å; angles 60.00, 60.00, 60.00 degrees
Last column: nearest neighbours and their distance in Å.
Fractional positions:
Bi (0.0000, 0.0000, 0.0000)  4 Co 2.91, 4 Pd 2.91
Co (0.7500, 0.7500, 0.7500)  4 Bi 2.91, 4 Lu 2.91
Lu (0.5000, 0.5000, 0.5000)  4 Pd 2.91, 4 Co 2.91
Pd (0.2500, 0.2500, 0.2500)  4 Lu 2.91, 4 Bi 2.91



(4)
Here is LuCoBiPd after structural relaxation from OQMD. Energies are from PBE.

Calculated values
- symmetry = No. 216
- distance to the lowest polymorph of the same formula (kJ per mole of atoms) = 20.4

Cell lengths 4.7953, 4.7953, 4.7953 Å; angles 60.00, 60.00, 60.00 degrees
Last column: nearest neighbours and their distance in Å.
Fractional positions:
Bi (0.0000, 0.0000, 0.0000)  4 Co 2.94, 4 Lu 2.94
Co (0.7500, 0.7500, 0.7500)  4 Pd 2.94, 4 Bi 2.94
Lu (0.2500, 0.2500, 0.2500)  4 Pd 2.94, 4 Bi 2.94
Pd (0.5000, 0.5000, 0.5000)  4 Lu 2.94, 4 Co 2.94



(5)
Here is LuScCoBi after structural relaxation from OQMD. Energies are from PBE.

Calculated values
- symmetry = No. 216
- distance to the lowest polymorph of the same formula (kJ per mole of atoms) = 0.0

Cell lengths 4.8938, 4.8938, 4.8938 Å; angles 60.00, 60.00, 60.00 degrees
Last column: nearest neighbours and their distance in Å.
Fractional positions:
Bi (0.0000, 0.0000, 0.0000)  4 Sc 3.00, 4 Co 3.00
Co (0.7500, 0.7500, 0.7500)  4 Bi 3.00, 4 Lu 3.00
Lu (0.5000, 0.5000, 0.5000)  4 Co 3.00, 4 Sc 3.00
Sc (0.2500, 0.2500, 0.2500)  4 Bi 3.00, 4 Lu 3.00



(6)
Here is LuTaCoBi after structural relaxation from OQMD. Energies are from PBE.

Calculated values
- symmetry = No. 216
- distance to the lowest polymorph of the same formula (kJ per mole of atoms) = 0.0

Cell lengths 4.8169, 4.8169, 4.8169 Å; angles 60.00, 60.00, 60.00 degrees
Last column: nearest neighbours and their distance in Å.
Fractional positions:
Bi (0.0000, 0.0000, 0.0000)  4 Ta 2.95, 4 Co 2.95
Co (0.7500, 0.7500, 0.7500)  4 Lu 2.95, 4 Bi 2.95
Lu (0.5000, 0.5000, 0.5000)  4 Co 2.95, 4 Ta 2.95
Ta (0.2500, 0.2500, 0.2500)  4 Bi 2.95, 4 Lu 2.95



(7)
Here is LuZnCoBi after structural relaxation from OQMD. Energies are from PBE.

Calculated values
- symmetry = No. 216
- distance to the lowest polymorph of the same formula (kJ per mole of atoms) = 0.0

Cell lengths 4.7778, 4.7778, 4.7778 Å; angles 60.00, 60.00, 60.00 degrees
Last column: nearest neighbours and their distance in Å.
Fractional positions:
Bi (0.0000, 0.0000, 0.0000)  4 Co 2.93, 4 Zn 2.93
Co (0.7500, 0.7500, 0.7500)  4 Bi 2.93, 4 Lu 2.93
Lu (0.5000, 0.5000, 0.5000)  4 Co 2.93, 4 Zn 2.93
Zn (0.2500, 0.2500, 0.2500)  4 Lu 2.93, 4 Bi 2.93



(8)
Here is LuZnCoBi after structural relaxation from OQMD. Energies are from PBE.

Calculated values
- symmetry = No. 216
- distance to the lowest polymorph of the same formula (kJ per mole of atoms) = 6.6

Cell lengths 4.8016, 4.8016, 4.8016 Å; angles 60.00, 60.00, 60.00 degrees
Last column: nearest neighbours and their distance in Å.
Fractional positions:
Bi (0.0000, 0.0000, 0.0000)  4 Co 2.94, 4 Lu 2.94
Co (0.7500, 0.7500, 0.7500)  4 Zn 2.94, 4 Bi 2.94
Lu (0.2500, 0.2500, 0.2500)  4 Zn 2.94, 4 Bi 2.94
Zn (0.5000, 0.5000, 0.5000)  4 Co 2.94, 4 Lu 2.94



(9)
Here is LuZrCoBi after structural relaxation from OQMD. Energies are from PBE.

Calculated values
- symmetry = No. 216
- distance to the lowest polymorph of the same formula (kJ per mole of atoms) = 0.0

Cell lengths 4.9030, 4.9030, 4.9030 Å; angles 60.00, 60.00, 60.00 degrees
Last column: nearest neighbours and their distance in Å.
Fractional positions:
Bi (0.0000, 0.0000, 0.0000)  4 Co 3.00, 4 Zr 3.00
Co (0.7500, 0.7500, 0.7500)  4 Bi 3.00, 4 Lu 3.00
Lu (0.5000, 0.5000, 0.5000)  4 Zr 3.00, 4 Co 3.00
Zr (0.2500, 0.2500, 0.2500)  4 Lu 3.00, 4 Bi 3.00



(10)
Here is MgCoBi2 after structural relaxation from OQMD. Energies are from PBE.

Calculated values
- symmetry = No. 216

Cell lengths 5.1107, 5.1107, 5.1107 Å; angles 60.00, 60.00, 60.00 degrees
Last column: nearest neighbours and their distance in Å.
Fractional positions:
Bi (0.0000, 0.0000, 0.0000)  4 Bi 3.13, 4 Co 3.13
Bi (0.7500, 0.7500, 0.7500)  4 Bi 3.13, 4 Mg 3.13
Co (0.2500, 0.2500, 0.2500)  4 Mg 3.13, 4 Bi 3.13
Mg (0.5000, 0.5000, 0.5000)  4 Co 3.13, 4 Bi 3.13



(11)
Here is MgNbCoBi after structural relaxation from OQMD. Energies are from PBE.

Calculated values
- symmetry = No. 216
- distance to the lowest polymorph of the same formula (kJ per mole of atoms) = 0.0

Cell lengths 4.7070, 4.7070, 4.7070 Å; angles 60.00, 60.00, 60.00 degrees
Last column: nearest neighbours and their distance in Å.
Fractional positions:
Bi (0.0000, 0.0000, 0.0000)  4 Co 2.88, 4 Nb 2.88
Co (0.7500, 0.7500, 0.7500)  4 Mg 2.88, 4 Bi 2.88
Mg (0.5000, 0.5000, 0.5000)  4 Co 2.88, 4 Nb 2.88
Nb (0.2500, 0.2500, 0.2500)  4 Mg 2.88, 4 Bi 2.88



(12)
Here is MgNbCoBi after structural relaxation from OQMD. Energies are from PBE.

Calculated values
- symmetry = No. 216
- distance to the lowest polymorph of the same formula (kJ per mole of atoms) = 3.8

Cell lengths 4.7096, 4.7096, 4.7096 Å; angles 60.00, 60.00, 60.00 degrees
Last column: nearest neighbours and their distance in Å.
Fractional positions:
Bi (0.0000, 0.0000, 0.0000)  4 Co 2.88, 4 Mg 2.88
Co (0.7500, 0.7500, 0.7500)  4 Bi 2.88, 4 Nb 2.88
Mg (0.2500, 0.2500, 0.2500)  4 Nb 2.88, 4 Bi 2.88
Nb (0.5000, 0.5000, 0.5000)  4 Co 2.88, 4 Mg 2.88



(13)
Here is MgCoBiPd after structural relaxation from OQMD. Energies are from PBE.

Calculated values
- symmetry = No. 216
- distance to the lowest polymorph of the same formula (kJ per mole of atoms) = 0.0

Cell lengths 4.6249, 4.6249, 4.6249 Å; angles 60.00, 60.00, 60.00 degrees
Last column: nearest neighbours and their distance in Å.
Fractional positions:
Bi (0.0000, 0.0000, 0.0000)  4 Co 2.83, 4 Pd 2.83
Co (0.7500, 0.7500, 0.7500)  4 Bi 2.83, 4 Mg 2.83
Mg (0.5000, 0.5000, 0.5000)  4 Pd 2.83, 4 Co 2.83
Pd (0.2500, 0.2500, 0.2500)  4 Mg 2.83, 4 Bi 2.83



(14)
Here is MgCoBiPt after structural relaxation from OQMD. Energies are from PBE.

Calculated values
- symmetry = No. 216
- distance to the lowest polymorph of the same formula (kJ per mole of atoms) = 0.0

Cell lengths 4.6499, 4.6499, 4.6499 Å; angles 60.00, 60.00, 60.00 degrees
Last column: nearest neighbours and their distance in Å.
Fractional positions:
Bi (0.0000, 0.0000, 0.0000)  4 Pt 2.85, 4 Co 2.85
Co (0.7500, 0.7500, 0.7500)  4 Bi 2.85, 4 Mg 2.85
Mg (0.5000, 0.5000, 0.5000)  4 Pt 2.85, 4 Co 2.85
Pt (0.2500, 0.2500, 0.2500)  4 Bi 2.85, 4 Mg 2.85



(15)
Here is MgCoBiW after structural relaxation from OQMD. Energies are from PBE.

Calculated values
- symmetry = No. 216
- distance to the lowest polymorph of the same formula (kJ per mole of atoms) = 4.7

Cell lengths 4.6532, 4.6532, 4.6532 Å; angles 60.00, 60.00, 60.00 degrees
Last column: nearest neighbours and their distance in Å.
Fractional positions:
Bi (0.0000, 0.0000, 0.0000)  4 Co 2.85, 4 Mg 2.85
Co (0.7500, 0.7500, 0.7500)  4 W 2.85, 4 Bi 2.85
Mg (0.2500, 0.2500, 0.2500)  4 W 2.85, 4 Bi 2.85
W (0.5000, 0.5000, 0.5000)  4 Co 2.85, 4 Mg 2.85



(16)
Here is MgCoBiW after structural relaxation from OQMD. Energies are from PBE.

Calculated values
- symmetry = No. 216
- distance to the lowest polymorph of the same formula (kJ per mole of atoms) = 0.0

Cell lengths 4.6148, 4.6148, 4.6148 Å; angles 60.00, 60.00, 60.00 degrees
Last column: nearest neighbours and their distance in Å.
Fractional positions:
Bi (0.0000, 0.0000, 0.0000)  4 Co 2.83, 4 W 2.83
Co (0.7500, 0.7500, 0.7500)  4 Mg 2.83, 4 Bi 2.83
Mg (0.5000, 0.5000, 0.5000)  4 Co 2.83, 4 W 2.83
W (0.2500, 0.2500, 0.2500)  4 Bi 2.83, 4 Mg 2.83



(17)
Here is MgZnCoBi after structural relaxation from OQMD. Energies are from PBE.

Calculated values
- symmetry = No. 216
- distance to the lowest polymorph of the same formula (kJ per mole of atoms) = 0.0

Cell lengths 4.6395, 4.6395, 4.6395 Å; angles 60.00, 60.00, 60.00 degrees
Last column: nearest neighbours and their distance in Å.
Fractional positions:
Bi (0.0000, 0.0000, 0.0000)  4 Mg 2.84, 4 Co 2.84
Co (0.7500, 0.7500, 0.7500)  4 Bi 2.84, 4 Zn 2.84
Mg (0.2500, 0.2500, 0.2500)  4 Zn 2.84, 4 Bi 2.84
Zn (0.5000, 0.5000, 0.5000)  4 Mg 2.84, 4 Co 2.84



(18)
Here is Co2BiMo after structural relaxation from OQMD. Energies are from PBE.

Calculated values
- symmetry = No. 216

Cell lengths 4.3992, 4.3992, 4.3992 Å; angles 60.00, 60.00, 60.00 degrees
Last column: nearest neighbours and their distance in Å.
Fractional positions:
Bi (0.5000, 0.5000, 0.5000)  4 Co 2.69, 4 Mo 2.69
Co (0.0000, 0.0000, 0.0000)  4 Co 2.69, 4 Mo 2.69
Co (0.7500, 0.7500, 0.7500)  4 Co 2.69, 4 Bi 2.69
Mo (0.2500, 0.2500, 0.2500)  4 Bi 2.69, 4 Co 2.69



(19)
Here is CoBi2Mo after structural relaxation from OQMD. Energies are from PBE.

Calculated values
- symmetry = No. 216

Cell lengths 4.9010, 4.9010, 4.9010 Å; angles 60.00, 60.00, 60.00 degrees
Last column: nearest neighbours and their distance in Å.
Fractional positions:
Bi (0.0000, 0.0000, 0.0000)  4 Bi 3.00, 4 Co 3.00
Bi (0.7500, 0.7500, 0.7500)  4 Bi 3.00, 4 Mo 3.00
Co (0.2500, 0.2500, 0.2500)  4 Mo 3.00, 4 Bi 3.00
Mo (0.5000, 0.5000, 0.5000)  4 Co 3.00, 4 Bi 3.00



(20)
Here is CoBiMo4N2 after structural relaxation from OQMD. Energies are from PBE.

Calculated values
- symmetry = No. 187

Cell lengths 3.2398, 3.2398, 12.5772 Å; angles 90.00, 90.00, 120.00 degrees
Last column: nearest neighbours and their distance in Å.
Fractional positions:
Bi (0.0000, 0.0000, 0.0000)  6 Mo 3.13, 6 Bi 3.24
Co (0.6667, 0.3333, 0.5000)  6 Mo 2.54
Mo (0.6667, 0.3333, 0.1999)  3 N 2.06
Mo (0.0000, 0.0000, 0.3639)  3 N 2.23
Mo (0.0000, 0.0000, 0.6361)  3 N 2.23
Mo (0.6667, 0.3333, 0.8001)  3 N 2.06
N (0.3333, 0.6667, 0.2679)  6 Mo 2.06-2.23
N (0.3333, 0.6667, 0.7321)  6 Mo 2.06-2.23



Number 1: calculated total energy -5.117 eV per atom. Number 2: calculated total energy -5.463 eV per atom. Number 3: calculated total energy -5.533 eV per atom. Number 4: calculated total energy -5.322 eV per atom. Number 5: calculated total energy -5.419 eV per atom. Number 6: calculated total energy -6.349 eV per atom. Number 7: calculated total energy -4.247 eV per atom. Number 8: calculated total energy -4.179 eV per atom. Number 9: calculated total energy -5.792 eV per atom. Number 10: calculated total energy -3.678 eV per atom. Number 11: calculated total energy -5.188 eV per atom. Number 12: calculated total energy -5.149 eV per atom. Number 13: calculated total energy -4.536 eV per atom. Number 14: calculated total energy -4.737 eV per atom. Number 15: calculated total energy -5.524 eV per atom. Number 16: calculated total energy -5.573 eV per atom. Number 17: calculated total energy -3.214 eV per atom. Number 18: calculated total energy -6.632 eV per atom. Number 19: calculated total energy -5.471 eV per atom. Number 20: calculated total energy -8.689 eV per atom.